# U6RhSe12 PBE optimized geometry
data_U6RhSe12
_chemical_formula_sum 'U18 Rh3 Se36'
_space_group_name_H-M_alt 'R -3'
_space_group_IT_number 148
_space_group_name_Hall '-R 3'
_cell_length_a 12.4772
_cell_length_b 12.4772
_cell_length_c 11.2058
_cell_angle_alpha 90.00
_cell_angle_beta 90.00
_cell_angle_gamma 120.00
loop_
_atom_site_label
_atom_site_fract_x
_atom_site_fract_y
_atom_site_fract_z
_atom_site_occupancy
U1 0.0544 0.7780 0.1477 1
Rh1 0.0000 0.0000 0.5000 1
Se1 0.0353 0.8207 0.8908 1
Se2 0.0534 0.8546 0.3897 1
# V	1510.81	Å³/cell
# mass density	8.17	g/cm3
# total energy	-407.94	eV per cell
# energy relative to the elements, uncorrected	-1004.5	meV per atom